# BaSiSe2

BaSiSe2 at its PBEsol-relaxed geometry (meta-GGA SCAN, Alexandria).

a = 8.4895 Å, b = 8.4895 Å, c = 8.4895 Å
α = 33.24°, β = 33.24°, γ = 33.24°
With the nearest neighbours (Å) after each atom.
Atoms (fractional coordinates):
Ba (0.0000, 0.0000, 0.0000)  6 Se 3.24
Si (0.5000, 0.5000, 0.5000)  2 Se 2.38
Se (0.4011, 0.4011, 0.4011)  1 Si 2.38
Se (0.5989, 0.5989, 0.5989)  1 Si 2.38

Computed properties:
Energy above the lowest structure with this stoichiometry (eV/f.u.): 0.57
SG: R-3m (166)

***

# BaSiSe2

BaSiSe2 at its PBEsol-relaxed geometry (meta-GGA SCAN, Alexandria).

a = 6.1405 Å, b = 6.1405 Å, c = 6.1405 Å
α = 144.51°, β = 131.39°, γ = 61.62°
With the nearest neighbours (Å) after each atom.
Atoms (fractional coordinates):
Ba (0.0000, 0.0000, 0.0000)  8 Se 3.23-3.49, 4 Si 3.36-3.55
Si (0.7358, 0.2358, 0.5000)  2 Se 2.56
Se (0.2794, 0.7794, 0.5000)  4 Si 3.18, 2 Se 3.36, 4 Ba 3.44-3.49
Se (0.5702, 0.5702, 0.0000)  2 Si 2.56

Computed properties:
Energy above the lowest structure with this stoichiometry (eV/f.u.): 0.00
SG: Imm2 (44)

***

# Ba2SiSe4

Ba2SiSe4 at its PBEsol-relaxed geometry (meta-GGA SCAN, Alexandria).

a = 6.8569 Å, b = 6.9760 Å, c = 9.1690 Å
α = 90.00°, β = 109.13°, γ = 90.00°
With the nearest neighbours (Å) after each atom.
Atoms (fractional coordinates):
Ba (0.2088, 0.2500, 0.4205)  8 Se 3.28-3.58
Ba (0.2888, 0.2500, 0.9569)  6 Se 3.22-3.40
Ba (0.7112, 0.7500, 0.0431)  6 Se 3.22-3.40
Ba (0.7912, 0.7500, 0.5795)  8 Se 3.28-3.58
Si (0.3012, 0.7500, 0.2143)  4 Se 2.27-2.29
Si (0.6988, 0.2500, 0.7857)  4 Se 2.27-2.29
Se (0.0910, 0.7500, 0.3623)  1 Si 2.28
Se (0.1453, 0.7500, 0.9520)  1 Si 2.29
Se (0.4864, 0.5079, 0.7237)  1 Si 2.27
Se (0.4864, 0.9921, 0.7237)  1 Si 2.27
Se (0.5136, 0.0079, 0.2763)  1 Si 2.27
Se (0.5136, 0.4921, 0.2763)  1 Si 2.27
Se (0.8547, 0.2500, 0.0480)  1 Si 2.29
Se (0.9090, 0.2500, 0.6377)  1 Si 2.28

Computed properties:
SG: P2_1/m (11)

***

# Ba2SiSe

Ba2SiSe at its PBEsol-relaxed geometry (meta-GGA SCAN, Alexandria).

a = 5.6262 Å, b = 5.6262 Å, c = 5.6262 Å
α = 60.00°, β = 60.00°, γ = 60.00°
With the nearest neighbours (Å) after each atom.
Atoms (fractional coordinates):
Ba (0.2500, 0.2500, 0.2500)  4 Se 3.45, 4 Si 3.45
Ba (0.7500, 0.7500, 0.7500)  4 Se 3.45, 4 Si 3.45
Si (0.0000, 0.0000, 0.0000)  8 Ba 3.45
Se (0.5000, 0.5000, 0.5000)  8 Ba 3.45

Computed properties:
SG: Fm-3m (225)

***

# BaSm2Se4

BaSm2Se4 at its PBEsol-relaxed geometry (meta-GGA SCAN, Alexandria).

a = 12.5558 Å, b = 4.2475 Å, c = 15.2358 Å
α = 90.00°, β = 90.00°, γ = 90.00°
With the nearest neighbours (Å) after each atom.
Atoms (fractional coordinates):
Ba (0.2469, 0.2500, 0.1614)  8 Se 3.29-3.51
Ba (0.2531, 0.7500, 0.6614)  8 Se 3.29-3.51
Ba (0.7469, 0.2500, 0.3386)  8 Se 3.29-3.51
Ba (0.7531, 0.7500, 0.8386)  8 Se 3.29-3.51
Sm (0.0732, 0.2500, 0.8971)  6 Se 2.86-2.94
Sm (0.0796, 0.2500, 0.3951)  6 Se 2.86-2.94
Sm (0.4204, 0.7500, 0.8951)  6 Se 2.86-2.94
Sm (0.4268, 0.7500, 0.3971)  6 Se 2.86-2.94
Sm (0.5732, 0.2500, 0.6029)  6 Se 2.86-2.94
Sm (0.5796, 0.2500, 0.1049)  6 Se 2.86-2.94
Sm (0.9204, 0.7500, 0.6049)  6 Se 2.86-2.94
Sm (0.9268, 0.7500, 0.1029)  6 Se 2.86-2.94
Se (0.0148, 0.7500, 0.7814)  3 Sm 2.86-2.94
Se (0.0772, 0.2500, 0.5826)  3 Sm 2.86-2.92
Se (0.1357, 0.7500, 0.0201)  3 Sm 2.91-2.94
Se (0.2129, 0.7500, 0.3259)  3 Sm 2.90
Se (0.2871, 0.2500, 0.8259)  3 Sm 2.90
Se (0.3643, 0.2500, 0.5201)  3 Sm 2.91-2.94
Se (0.4228, 0.7500, 0.0826)  3 Sm 2.86-2.92
Se (0.4852, 0.2500, 0.2814)  3 Sm 2.86-2.94
Se (0.5148, 0.7500, 0.7186)  3 Sm 2.86-2.94
Se (0.5772, 0.2500, 0.9174)  3 Sm 2.86-2.92
Se (0.6357, 0.7500, 0.4799)  3 Sm 2.91-2.94
Se (0.7129, 0.7500, 0.1741)  3 Sm 2.90
Se (0.7871, 0.2500, 0.6741)  3 Sm 2.90
Se (0.8643, 0.2500, 0.9799)  3 Sm 2.91-2.94
Se (0.9228, 0.7500, 0.4174)  3 Sm 2.86-2.92
Se (0.9852, 0.2500, 0.2186)  3 Sm 2.86-2.94

Computed properties:
SG: Pnma (62)

***

# BaSnSe3

BaSnSe3 at its PBEsol-relaxed geometry (meta-GGA SCAN, Alexandria).

a = 5.2772 Å, b = 5.2772 Å, c = 5.2772 Å
α = 90.00°, β = 90.00°, γ = 90.00°
With the nearest neighbours (Å) after each atom.
Atoms (fractional coordinates):
Ba (0.0000, 0.0000, 0.0000)  12 Se 3.73
Sn (0.5000, 0.5000, 0.5000)  6 Se 2.64
Se (0.0000, 0.5000, 0.5000)  2 Sn 2.64
Se (0.5000, 0.0000, 0.5000)  2 Sn 2.64
Se (0.5000, 0.5000, 0.0000)  2 Sn 2.64

Computed properties:
SG: Pm-3m (221)

***

# BaSr2Se

BaSr2Se at its PBEsol-relaxed geometry (meta-GGA SCAN, Alexandria).

a = 3.9434 Å, b = 3.9434 Å, c = 10.5963 Å
α = 90.00°, β = 90.00°, γ = 90.28°
With the nearest neighbours (Å) after each atom.
Atoms (fractional coordinates):
Ba (0.0000, 0.0000, 0.0000)  4 Se 3.38-3.39, 1 Sr 3.65
Sr (0.0000, 0.0000, 0.6560)  4 Se 3.27-3.29, 1 Ba 3.65
Sr (0.5000, 0.5000, 0.3399)  8 Sr 3.94-4.36
Se (0.5000, 0.5000, 0.8189)  4 Sr 3.27-3.29, 4 Ba 3.38-3.39

Computed properties:
Energy above the lowest structure with this stoichiometry (eV/f.u.): 0.32
SG: Cmm2 (35)

***

# BaSr2Se

BaSr2Se at its PBEsol-relaxed geometry (meta-GGA SCAN, Alexandria).

a = 11.4044 Å, b = 11.4044 Å, c = 11.4044 Å
α = 21.85°, β = 21.85°, γ = 21.85°
With the nearest neighbours (Å) after each atom.
Atoms (fractional coordinates):
Ba (0.0000, 0.0000, 0.0000)  3 Se 3.23
Sr (0.5523, 0.5523, 0.5523)  3 Se 3.06
Sr (0.7782, 0.7782, 0.7782)  9 Sr 4.32-4.37, 3 Ba 4.48
Se (0.2720, 0.2720, 0.2720)  3 Sr 3.06, 3 Ba 3.23

Computed properties:
Energy above the lowest structure with this stoichiometry (eV/f.u.): 0.00
SG: R3m (160)

***

# BaSr2Se

BaSr2Se at its PBEsol-relaxed geometry (meta-GGA SCAN, Alexandria).

a = 6.0101 Å, b = 6.0101 Å, c = 6.0101 Å
α = 60.00°, β = 60.00°, γ = 60.00°
With the nearest neighbours (Å) after each atom.
Atoms (fractional coordinates):
Ba (0.0000, 0.0000, 0.0000)  4 Sr 3.68, 4 Se 3.68
Sr (0.2500, 0.2500, 0.2500)  4 Sr 3.68, 4 Ba 3.68
Sr (0.5000, 0.5000, 0.5000)  4 Se 3.68, 4 Sr 3.68
Se (0.7500, 0.7500, 0.7500)  4 Ba 3.68, 4 Sr 3.68

Computed properties:
Energy above the lowest structure with this stoichiometry (eV/f.u.): 3.13
SG: F-43m (216)

***

# BaSr2Se2

BaSr2Se2 at its PBEsol-relaxed geometry (meta-GGA SCAN, Alexandria).

a = 7.2961 Å, b = 7.2961 Å, c = 7.2961 Å
α = 134.97°, β = 134.97°, γ = 65.58°
With the nearest neighbours (Å) after each atom.
Atoms (fractional coordinates):
Ba (0.0000, 0.0000, 0.0000)  10 Sr 4.09-4.45, 8 Se 4.15
Sr (0.3335, 0.3335, 0.0000)  4 Se 2.98
Sr (0.6665, 0.6665, 0.0000)  4 Se 2.98
Se (0.2500, 0.7500, 0.5000)  4 Sr 2.98
Se (0.7500, 0.2500, 0.5000)  4 Sr 2.98

Computed properties:
Energy above the lowest structure with this stoichiometry (eV/f.u.): 0.00
SG: I4/mmm (139)

***

# BaSr2Se2

BaSr2Se2 at its PBEsol-relaxed geometry (meta-GGA SCAN, Alexandria).

a = 7.9810 Å, b = 7.9810 Å, c = 7.9810 Å
α = 144.91°, β = 144.91°, γ = 50.48°
With the nearest neighbours (Å) after each atom.
Atoms (fractional coordinates):
Ba (0.0000, 0.0000, 0.0000)  8 Se 3.80
Sr (0.2500, 0.7500, 0.5000)  4 Se 3.08, 4 Sr 3.40
Sr (0.7500, 0.2500, 0.5000)  4 Se 3.08, 4 Sr 3.40
Se (0.3833, 0.3833, 0.0000)  4 Sr 3.08, 1 Se 3.37
Se (0.6167, 0.6167, 0.0000)  4 Sr 3.08, 1 Se 3.37

Computed properties:
Energy above the lowest structure with this stoichiometry (eV/f.u.): 0.59
SG: I4/mmm (139)

***

# BaTa2Se

BaTa2Se at its PBEsol-relaxed geometry (meta-GGA SCAN, Alexandria).

a = 6.1497 Å, b = 6.1497 Å, c = 6.1497 Å
α = 150.06°, β = 120.34°, γ = 68.18°
With the nearest neighbours (Å) after each atom.
Atoms (fractional coordinates):
Ba (0.0000, 0.0000, 0.0000)  2 Ba 3.18, 2 Se 3.22, 4 Ta 3.46
Ta (0.3152, 0.8152, 0.5000)  2 Ta 2.68
Ta (0.5273, 0.5273, 0.0000)  2 Se 2.57, 2 Ta 2.68
Se (0.7252, 0.2252, 0.5000)  2 Ta 2.57

Computed properties:
SG: Imm2 (44)

***

# Ba2TaSe

Ba2TaSe at its PBEsol-relaxed geometry (meta-GGA SCAN, Alexandria).

a = 4.2772 Å, b = 5.0352 Å, c = 6.6472 Å
α = 90.00°, β = 90.00°, γ = 90.00°
With the nearest neighbours (Å) after each atom.
Atoms (fractional coordinates):
Ba (0.0000, 0.0000, 0.0000)  4 Se 3.30, 2 Ta 3.32
Ba (0.5000, 0.5000, 0.5000)  4 Ta 3.30, 2 Se 3.32
Ta (0.0000, 0.0000, 0.5000)  6 Ba 3.30-3.32
Se (0.5000, 0.5000, 0.0000)  6 Ba 3.30-3.32

Computed properties:
SG: Pmmm (47)

***

# BaTa2Se

BaTa2Se at its PBEsol-relaxed geometry (meta-GGA SCAN, Alexandria).

a = 5.9278 Å, b = 5.9278 Å, c = 3.6493 Å
α = 107.55°, β = 107.55°, γ = 120.13°
With the nearest neighbours (Å) after each atom.
Atoms (fractional coordinates):
Ba (0.0000, 0.0000, 0.0000)  4 Se 2.96-3.00, 4 Ta 2.98
Ta (0.0000, 0.5000, 0.5000)  4 Ta 2.96-3.00, 2 Ba 2.98, 2 Se 2.98
Ta (0.5000, 0.0000, 0.5000)  4 Ta 2.96-3.00, 2 Ba 2.98, 2 Se 2.98
Se (0.5000, 0.5000, 0.0000)  4 Ba 2.96-3.00, 4 Ta 2.98

Computed properties:
SG: C2/m (12)

***

# BaTa2Se

BaTa2Se at its PBEsol-relaxed geometry (meta-GGA SCAN, Alexandria).

a = 3.3178 Å, b = 5.0092 Å, c = 5.3717 Å
α = 90.00°, β = 90.00°, γ = 90.00°
With the nearest neighbours (Å) after each atom.
Atoms (fractional coordinates):
Ba (0.0000, 0.0000, 0.0000)  4 Se 3.00, 4 Ta 3.16, 2 Ba 3.32
Ta (0.0000, 0.5000, 0.5000)  6 Ta 3.00-3.32, 4 Se 3.16
Ta (0.5000, 0.0000, 0.5000)  6 Ta 3.00-3.32, 4 Ba 3.16
Se (0.5000, 0.5000, 0.0000)  4 Ba 3.00, 4 Ta 3.16, 2 Se 3.32

Computed properties:
SG: Pmmm (47)

***

# BaTcSe2

BaTcSe2 at its PBEsol-relaxed geometry (meta-GGA SCAN, Alexandria).

a = 8.4792 Å, b = 8.4792 Å, c = 8.4792 Å
α = 33.61°, β = 33.61°, γ = 33.61°
With the nearest neighbours (Å) after each atom.
Atoms (fractional coordinates):
Ba (0.0000, 0.0000, 0.0000)  6 Se 3.25
Tc (0.5000, 0.5000, 0.5000)  2 Se 2.41
Se (0.3995, 0.3995, 0.3995)  1 Tc 2.41
Se (0.6005, 0.6005, 0.6005)  1 Tc 2.41

Computed properties:
Energy above the lowest structure with this stoichiometry (eV/f.u.): 1.22
SG: R-3m (166)

***

# BaTcSe2

BaTcSe2 at its PBEsol-relaxed geometry (meta-GGA SCAN, Alexandria).

a = 3.2527 Å, b = 3.2527 Å, c = 8.8593 Å
α = 90.00°, β = 90.00°, γ = 90.00°
With the nearest neighbours (Å) after each atom.
Atoms (fractional coordinates):
Ba (0.0000, 0.0000, 0.0000)  4 Ba 3.25, 5 Se 3.27-3.56, 4 Tc 3.43
Tc (0.5000, 0.5000, 0.7126)  4 Se 2.51
Se (0.0000, 0.0000, 0.5982)  4 Tc 2.51
Se (0.5000, 0.5000, 0.2616)  4 Se 3.25, 4 Ba 3.27

Computed properties:
Energy above the lowest structure with this stoichiometry (eV/f.u.): 2.46
SG: P4mm (99)

***

# BaTcSe2

BaTcSe2 at its PBEsol-relaxed geometry (meta-GGA SCAN, Alexandria).

a = 5.5340 Å, b = 5.5340 Å, c = 5.5340 Å
α = 139.23°, β = 112.29°, γ = 82.15°
With the nearest neighbours (Å) after each atom.
Atoms (fractional coordinates):
Ba (0.0000, 0.0000, 0.0000)  8 Se 3.26-3.45, 4 Tc 3.64
Tc (0.5000, 0.5000, 0.0000)  4 Se 2.47
Se (0.3152, 0.8152, 0.5000)  2 Tc 2.47
Se (0.6848, 0.1848, 0.5000)  2 Tc 2.47

Computed properties:
Energy above the lowest structure with this stoichiometry (eV/f.u.): 0.04
SG: Immm (71)

***

# BaTc2Se

BaTc2Se at its PBEsol-relaxed geometry (meta-GGA SCAN, Alexandria).

a = 6.5165 Å, b = 6.5165 Å, c = 6.5165 Å
α = 37.37°, β = 37.37°, γ = 37.37°
With the nearest neighbours (Å) after each atom.
Atoms (fractional coordinates):
Ba (0.0000, 0.0000, 0.0000)  3 Se 3.24, 4 Tc 3.46-3.57
Tc (0.4913, 0.4913, 0.4913)  3 Tc 2.44, 3 Se 2.62
Tc (0.8035, 0.8035, 0.8035)  3 Tc 2.44
Se (0.2138, 0.2138, 0.2138)  6 Tc 2.62-2.79

Computed properties:
SG: R3m (160)

***

# BaTcSe3

BaTcSe3 at its PBEsol-relaxed geometry (meta-GGA SCAN, Alexandria).

a = 4.9755 Å, b = 4.9755 Å, c = 4.9755 Å
α = 90.00°, β = 90.00°, γ = 90.00°
With the nearest neighbours (Å) after each atom.
Atoms (fractional coordinates):
Ba (0.0000, 0.0000, 0.0000)  12 Se 3.52
Tc (0.5000, 0.5000, 0.5000)  6 Se 2.49
Se (0.0000, 0.5000, 0.5000)  2 Tc 2.49
Se (0.5000, 0.0000, 0.5000)  2 Tc 2.49
Se (0.5000, 0.5000, 0.0000)  2 Tc 2.49

Computed properties:
SG: Pm-3m (221)

***

In order of appearance, total DFT energy (no corrections) = -91.9, -92.4, -362.1, -112.6, -897.7, -140.6, -108.1, -108.4, -105.3, -131.8, -131.2, -190.4, -165.0, -190.1, -189.7, -116.7, -115.4, -117.8, -130.7, -139.3 eV per cell.
In order of appearance, ΔE_f (raw) = -0.54, -0.68, -1.66, -0.84, -2.24, -0.97, -0.98, -1.06, -0.28, -1.51, -1.39, 0.59, 0.18, 0.68, 0.79, -0.47, -0.16, -0.77, -0.25, -0.88 eV per atom.